{
  "formula": "NaLi2PmAs2",
  "functional": "GGA-PBE",
  "state": "optimized geometry",
  "lattice": [[4.386, 0.000, 0.000], [-2.193, 3.798, 0.000], [0.000, 0.000, 7.192]],
  "species": ["Na", "Li", "Li", "Pm", "As", "As"],
  "frac_coords": [[0.000, 0.000, 0.000], [0.333, 0.667, 0.168], [0.667, 0.333, 0.832], [0.000, 0.000, 0.500], [0.333, 0.667, 0.744], [0.667, 0.333, 0.256]],
  "dos_ef_per_ev_atom": 0.0046,
  "delta_e_f_mev_per_atom": -918,
  "final_energy_ev_per_atom": -4.1173,
  "density_g_cm3": 4.60,
  "space_group": "P-3m1, No. 164"
}